The following is a PBEsol calculation of a relaxed DySi2 crystal, from the Alexandria database.

a = 3.837 Å, b = 4.076 Å, c = 4.076 Å
α = 120.00°, β = 90.00°, γ = 90.00°
Fractional coordinates of all 3 atoms:
Si 0.500 0.667 0.333
Dy 0.000 0.000 0.000
Si 0.500 0.333 0.667

Results
Raw formation energy: -0.605 eV per atom
Total magnetization: 0.00 μB per atom
Energy: -18.3 eV per formula unit
Crystal system: hexagonal

=====

The following is a PBEsol calculation of a relaxed DySi crystal, from the Alexandria database.

a = 3.791 Å, b = 4.228 Å, c = 5.628 Å
α = 67.93°, β = 90.00°, γ = 90.00°
Fractional coordinates of all 4 atoms:
Dy 0.750 0.859 0.281
Dy 0.250 0.141 0.719
Si 0.750 0.576 0.847
Si 0.250 0.424 0.153

Results
Raw formation energy: -0.895 eV per atom
Total magnetization: 0.00 μB per atom
Energy: -12.5 eV per formula unit
Crystal system: orthorhombic

=====

The following is a PBEsol calculation of a relaxed DySi crystal, from the Alexandria database.

a = 3.794 Å, b = 5.636 Å, c = 7.810 Å
α = 90.00°, β = 90.00°, γ = 90.00°
Fractional coordinates of all 8 atoms:
Si 0.250 0.629 0.038
Si 0.750 0.371 0.962
Dy 0.250 0.115 0.179
Dy 0.250 0.385 0.679
Si 0.250 0.871 0.538
Dy 0.750 0.615 0.321
Si 0.750 0.129 0.462
Dy 0.750 0.885 0.821

Results
Raw formation energy: -0.897 eV per atom
Total magnetization: 0.00 μB per atom
Energy: -12.5 eV per formula unit
Crystal system: orthorhombic

=====

The following is a PBEsol calculation of a relaxed DyTiSi crystal, from the Alexandria database.

a = 3.986 Å, b = 3.986 Å, c = 7.478 Å
α = 90.00°, β = 90.00°, γ = 90.00°
Fractional coordinates of all 6 atoms:
Ti 0.500 0.500 0.000
Dy 0.000 0.500 0.345
Dy 0.500 0.000 0.655
Ti 0.000 0.000 0.000
Si 0.500 0.000 0.238
Si 0.000 0.500 0.762

Results
Raw formation energy: -0.684 eV per atom
Total magnetization: 0.00 μB per atom
Energy: -21.1 eV per formula unit
Crystal system: tetragonal

=====

The following is a PBEsol calculation of a relaxed DyZnSi crystal, from the Alexandria database.

a = 3.975 Å, b = 4.055 Å, c = 4.055 Å
α = 120.00°, β = 90.00°, γ = 90.00°
Fractional coordinates of all 3 atoms:
Dy 0.000 0.000 0.000
Zn 0.500 0.667 0.333
Si 0.500 0.333 0.667

Results
Raw formation energy: -0.679 eV per atom
Total magnetization: 0.00 μB per atom
Energy: -14.3 eV per formula unit
Crystal system: hexagonal

=====

The following is a PBEsol calculation of a relaxed Sm3Dy crystal, from the Alexandria database.

a = 5.681 Å, b = 7.127 Å, c = 7.127 Å
α = 120.00°, β = 90.00°, γ = 90.00°
Fractional coordinates of all 8 atoms:
Sm 0.250 0.167 0.833
Sm 0.750 0.833 0.167
Sm 0.750 0.833 0.667
Dy 0.250 0.667 0.333
Sm 0.250 0.667 0.833
Dy 0.750 0.333 0.667
Sm 0.250 0.167 0.333
Sm 0.750 0.333 0.167

Results
Total magnetization: 0.00 μB per atom
Calculated formation energy: 23 meV/atom
Energy: -20.2 eV per formula unit
Energy relative to the lowest polymorph listed for this composition: 1.6 kJ/mol of atoms
Crystal system: hexagonal